First-principles (GGA-PBEsol) data for a geometry-optimized TaFeOs3 structure, as listed in Alexandria.

The space group is Pm-3m (No. 221) and the conventional cell measures 4.3291, 4.3291 and 4.3291 Å, with angles of 90.00, 90.00 and 90.00 degrees. The asymmetric unit holds Ta at (0.0000, 0.0000, 0.0000), Fe at (0.5000, 0.5000, 0.5000) and Os at (0.0000, 0.5000, 0.5000).

The calculated density is 16.53 g/cm³. For the raw total energy, the calculation gives -10.127 eV per atom. The value obtained for the energy of formation from the pure elements is 1505 meV/atom.